A crystal of Hf2TiGa2 relaxed with PBEsol. Source: Alexandria, functional SCAN.

Lattice parameters (Å, degrees): 3.707 6.939 6.939 90.00 90.00 90.00
Each line ends with the local moment (μB).
Fractional positions:
Ga (0.000, 0.627, 0.127)  0.00
Ga (0.000, 0.373, 0.873)  0.00
Ga (0.000, 0.127, 0.373)  0.00
Ga (0.000, 0.873, 0.627)  0.00
Hf (0.500, 0.675, 0.825)  0.20
Hf (0.500, 0.825, 0.325)  0.20
Hf (0.500, 0.325, 0.175)  0.20
Hf (0.500, 0.175, 0.675)  0.20
Ti (0.000, 0.000, 0.000)  1.07
Ti (0.000, 0.500, 0.500)  1.07

Formation energy from the elements, meV per atom: -546
DOS at the Fermi energy, states/eV per atom: 0.6036
Magnetization, μB per atom: 0.390